(1)
Crystalline BeReTc2 at its relaxed geometry, computed with PBE.

Computed properties:
Its energy is -9.09 eV per atom. The total magnetic moment comes out at 0.00 μB per formula unit.

Lattice parameters (Å, degrees): 3.735 3.735 7.767 90.00 90.00 90.00
Space group I4/mmm (No. 139)
Symmetry-distinct sites (fractional):
Be (0.000, 0.000, 0.000) x2
Re (0.000, 0.000, 0.500) x2
Tc (0.000, 0.500, 0.250) x4

=====

(2)
Crystalline RbPmAuS2 at its relaxed geometry, computed with PBE.

Computed properties:
Its uncorrected formation energy is -1.142 eV per atom. Its energy is -4.59 eV per atom. The total magnetic moment comes out at 0.00 μB per formula unit.

Lattice parameters (Å, degrees): 7.662 5.084 7.964 90.00 100.79 90.00
Space group P2/c (No. 13)
Symmetry-distinct sites (fractional):
Rb (0.000, 0.158, 0.250) x2
Pm (0.500, 0.492, 0.750) x2
Au (0.500, 0.000, 0.000) x2
S (0.266, 0.327, 0.961) x4

=====

(3)
Crystalline NaVIn2Br6 at its relaxed geometry, computed with PBE.

Computed properties:
Its uncorrected formation energy is -0.903 eV per atom. Its energy is -3.50 eV per atom. The total magnetic moment comes out at 2.00 μB per formula unit.

Lattice parameters (Å, degrees): 7.335 7.883 12.768 90.00 123.81 90.00
Space group P2_1/c (No. 14)
Symmetry-distinct sites (fractional):
Na (0.000, 0.000, 0.000) x2
V (0.500, 0.000, 0.500) x2
In (0.218, 0.083, 0.745) x4
Br (0.169, 0.175, 0.456) x4
Br (0.276, 0.724, 0.449) x4
Br (0.371, 0.028, 0.268) x4